# Ga2HgPt2

A relaxed structure of Ga2HgPt2 (PBE-GGA, OQMD via LeMat-Bulk).

Output
For the total DFT energy (no corrections), the calculation gives -3.963 eV per atom. Its density is 12.93 g/cm3. Its space group is I4/mmm.

abc: 6.3363 6.3363 6.3363
angles: 142.47 142.47 54.12
Atoms (fractional coordinates):
Ga 0.1127 0.1127 0.0000
Ga 0.8873 0.8873 0.0000
Hg 0.5000 0.5000 0.0000
Pt 0.2500 0.7500 0.5000
Pt 0.7500 0.2500 0.5000

---

# GaHg2Pt

A relaxed structure of GaHg2Pt (PBE-GGA, OQMD via LeMat-Bulk).

Output
For the total DFT energy (no corrections), the calculation gives -2.309 eV per atom. Its density is 14.12 g/cm3. Its space group is F-43m.

abc: 4.8027 4.8027 4.8027
angles: 60.00 60.00 60.00
Atoms (fractional coordinates):
Ga 0.0000 0.0000 0.0000
Hg 0.5000 0.5000 0.5000
Hg 0.7500 0.7500 0.7500
Pt 0.2500 0.2500 0.2500

---

# PuGaHg

A relaxed structure of PuGaHg (PBE-GGA, OQMD via LeMat-Bulk).

Output
Its density is 11.17 g/cm3. The polymorph energy (0 for the lowest one) comes out at 0 meV per atom. Its space group is F-43m.

abc: 4.7645 4.7645 4.7645
angles: 60.00 60.00 60.00
Atoms (fractional coordinates):
Pu 0.0000 0.0000 0.0000
Ga 0.7500 0.7500 0.7500
Hg 0.5000 0.5000 0.5000

---

# PuGaHg

A relaxed structure of PuGaHg (PBE-GGA, OQMD via LeMat-Bulk).

Output
Its density is 10.10 g/cm3. The polymorph energy (0 for the lowest one) comes out at 262 meV per atom. Its space group is F-43m.

abc: 4.9261 4.9261 4.9261
angles: 60.00 60.00 60.00
Atoms (fractional coordinates):
Pu 0.0000 0.0000 0.0000
Ga 0.7500 0.7500 0.7500
Hg 0.2500 0.2500 0.2500

---

# RbGaHg

A relaxed structure of RbGaHg (PBE-GGA, OQMD via LeMat-Bulk).

Output
Its density is 5.09 g/cm3. The polymorph energy (0 for the lowest one) comes out at 0 meV per atom. Its space group is F-43m.

abc: 5.4741 5.4741 5.4741
angles: 60.00 60.00 60.00
Atoms (fractional coordinates):
Rb 0.0000 0.0000 0.0000
Ga 0.5000 0.5000 0.5000
Hg 0.7500 0.7500 0.7500

---

# RbGaHg

A relaxed structure of RbGaHg (PBE-GGA, OQMD via LeMat-Bulk).

Output
Its density is 5.26 g/cm3. The polymorph energy (0 for the lowest one) comes out at 12 meV per atom. Its space group is F-43m.

abc: 5.4162 5.4162 5.4162
angles: 60.00 60.00 60.00
Atoms (fractional coordinates):
Rb 0.0000 0.0000 0.0000
Ga 0.7500 0.7500 0.7500
Hg 0.5000 0.5000 0.5000

---

What is the density in the first record?
12.93 g/cm3

---

What is the density in the sixth record?
5.26 g/cm3

---

The lowest density belongs to which entry?
number 5